[1]
Entry from Alexandria via LeMat-Bulk: an optimized crystal structure of Tl2In (GGA-PBE).

Unit cell a=10.1891 b=10.1891 c=10.1891 alpha=60.00 beta=60.00 gamma=60.00
With the nearest neighbours (Å) after each atom.
Positions (direct):
Tl  0.0000  0.0000  0.0000  6 In 3.18
Tl  0.0000  0.0000  0.5000  6 In 3.18
Tl  0.0000  0.5000  0.0000  6 In 3.18
Tl  0.1822  0.1822  0.5678  4 In 3.29-3.63, 2 Tl 3.66
Tl  0.1822  0.5678  0.1822  4 In 3.29-3.63, 2 Tl 3.66
Tl  0.1822  0.5678  0.5678  4 In 3.29-3.63, 2 Tl 3.66
Tl  0.4322  0.4322  0.8178  4 In 3.29-3.63, 2 Tl 3.66
Tl  0.4322  0.8178  0.4322  4 In 3.29-3.63, 2 Tl 3.66
Tl  0.4322  0.8178  0.8178  4 In 3.29-3.63, 2 Tl 3.66
Tl  0.5000  0.0000  0.0000  6 In 3.18
Tl  0.5678  0.1822  0.1822  4 In 3.29-3.63, 2 Tl 3.66
Tl  0.5678  0.1822  0.5678  4 In 3.29-3.63, 2 Tl 3.66
Tl  0.5678  0.5678  0.1822  4 In 3.29-3.63, 2 Tl 3.66
Tl  0.8178  0.4322  0.4322  4 In 3.29-3.63, 2 Tl 3.66
Tl  0.8178  0.4322  0.8178  4 In 3.29-3.63, 2 Tl 3.66
Tl  0.8178  0.8178  0.4322  4 In 3.29-3.63, 2 Tl 3.66
In  0.1456  0.7848  0.7848  6 Tl 3.18-3.29
In  0.2152  0.2152  0.2152  6 Tl 3.18-3.29
In  0.2152  0.2152  0.8544  6 Tl 3.18-3.29
In  0.2152  0.8544  0.2152  6 Tl 3.18-3.29
In  0.7848  0.1456  0.7848  6 Tl 3.18-3.29
In  0.7848  0.7848  0.1456  6 Tl 3.18-3.29
In  0.7848  0.7848  0.7848  6 Tl 3.18-3.29
In  0.8544  0.2152  0.2152  6 Tl 3.18-3.29

Summary:
Uncorrected energy in eV/atom: -2.448
Magnetization in μB per cell: 0.00
Space-group type: Fd-3m

=====

[2]
Entry from Alexandria via LeMat-Bulk: an optimized crystal structure of Tl2In (GGA-PBE).

Unit cell a=3.4175 b=3.4175 c=15.1789 alpha=90.00 beta=90.00 gamma=90.00
With the nearest neighbours (Å) after each atom.
Positions (direct):
Tl  0.0000  0.0000  0.1604  8 Tl 3.42-3.64, 4 In 3.43
Tl  0.0000  0.0000  0.8396  8 Tl 3.42-3.64, 4 In 3.43
Tl  0.5000  0.5000  0.3396  8 Tl 3.42-3.64, 4 In 3.43
Tl  0.5000  0.5000  0.6604  8 Tl 3.42-3.64, 4 In 3.43
In  0.0000  0.0000  0.5000  4 In 3.42, 8 Tl 3.43
In  0.5000  0.5000  0.0000  4 In 3.42, 8 Tl 3.43

Summary:
Uncorrected energy in eV/atom: -2.468
Magnetization in μB per cell: 0.00
Space-group type: I4/mmm

=====

[3]
Entry from Alexandria via LeMat-Bulk: an optimized crystal structure of Tl5In2 (GGA-PBE).

Unit cell a=3.3734 b=3.3734 c=36.6503 alpha=90.00 beta=90.00 gamma=90.00
With the nearest neighbours (Å) after each atom.
Positions (direct):
Tl  0.0000  0.0000  0.0000  12 Tl 3.37-3.58
Tl  0.0000  0.0000  0.1467  8 Tl 3.37-3.60, 4 In 3.51
Tl  0.0000  0.0000  0.4270  12 Tl 3.37-3.60
Tl  0.0000  0.0000  0.5730  12 Tl 3.37-3.60
Tl  0.0000  0.0000  0.8533  8 Tl 3.37-3.60, 4 In 3.51
Tl  0.5000  0.5000  0.0730  12 Tl 3.37-3.60
Tl  0.5000  0.5000  0.3533  8 Tl 3.37-3.60, 4 In 3.51
Tl  0.5000  0.5000  0.5000  12 Tl 3.37-3.58
Tl  0.5000  0.5000  0.6467  8 Tl 3.37-3.60, 4 In 3.51
Tl  0.5000  0.5000  0.9270  12 Tl 3.37-3.60
In  0.0000  0.0000  0.2831  8 In 3.37-3.40, 4 Tl 3.51
In  0.0000  0.0000  0.7169  8 In 3.37-3.40, 4 Tl 3.51
In  0.5000  0.5000  0.2169  8 In 3.37-3.40, 4 Tl 3.51
In  0.5000  0.5000  0.7831  8 In 3.37-3.40, 4 Tl 3.51

Summary:
Uncorrected energy in eV/atom: -2.453
Magnetization in μB per cell: 0.00
Space-group type: I4/mmm

=====

Record-wise Fermi-level density of states values, in states/eV/atom: 0.44, 0.39, 0.50